VASP calculation (SCAN) on a crystal of HfNb3H relaxed with PBEsol.

The structure in CIF format:
```
data_HfNb3H
_cell_length_a 4.869
_cell_length_b 4.869
_cell_length_c 4.869
_cell_angle_alpha 90.00
_cell_angle_beta 90.00
_cell_angle_gamma 90.00
_space_group_name_H-M_alt 'P m -3 m'
_space_group_IT_number 221
_space_group_name_Hall '-P 4 2 3'
loop_
_atom_site_label
_atom_site_type_symbol
_atom_site_fract_x
_atom_site_fract_y
_atom_site_fract_z
Hf1 Hf 0.000 0.000 0.000
Nb1 Nb 0.000 0.000 0.500
H1 H 0.500 0.500 0.500
```

Computed properties:
For the energy above the most stable polymorph in this dataset, the calculation gives 1085 kJ/mol of formula units. The crystal system is cubic.


VASP calculation (SCAN) on a crystal of Sr2ReW relaxed with PBEsol.

The structure in CIF format:
```
data_Sr2ReW
_cell_length_a 3.943
_cell_length_b 3.943
_cell_length_c 5.362
_cell_angle_alpha 90.00
_cell_angle_beta 90.00
_cell_angle_gamma 90.00
_space_group_name_H-M_alt 'P 4/m m m'
_space_group_IT_number 123
_space_group_name_Hall '-P 4 2'
loop_
_atom_site_label
_atom_site_type_symbol
_atom_site_fract_x
_atom_site_fract_y
_atom_site_fract_z
Sr1 Sr 0.000 0.500 0.000
Re1 Re 0.000 0.000 0.500
W1 W 0.500 0.500 0.500
```

Computed properties:
For the total energy, the calculation gives -44.996 eV per atom. The crystal system is tetragonal.


VASP calculation (SCAN) on a crystal of La2HgN relaxed with PBEsol.

The structure in CIF format:
```
data_La2HgN
_cell_length_a 7.114
_cell_length_b 7.114
_cell_length_c 7.114
_cell_angle_alpha 90.00
_cell_angle_beta 90.00
_cell_angle_gamma 90.00
_space_group_name_H-M_alt 'F m -3 m'
_space_group_IT_number 225
_space_group_name_Hall '-F 4 2 3'
loop_
_atom_site_label
_atom_site_type_symbol
_atom_site_fract_x
_atom_site_fract_y
_atom_site_fract_z
La1 La 0.250 0.250 0.250
Hg1 Hg 0.000 0.000 0.000
N1 N 0.000 0.000 0.500
```

Computed properties:
For the energy above the most stable polymorph in this dataset, the calculation gives 373 kJ/mol of formula units. The crystal system is cubic. The value obtained for the formation energy without anion corrections is -0.09 eV/atom.


VASP calculation (SCAN) on a crystal of Hf2SiO relaxed with PBEsol.

The structure in CIF format:
```
data_Hf2SiO
_cell_length_a 6.214
_cell_length_b 6.214
_cell_length_c 6.214
_cell_angle_alpha 90.00
_cell_angle_beta 90.00
_cell_angle_gamma 90.00
_space_group_name_H-M_alt 'F m -3 m'
_space_group_IT_number 225
_space_group_name_Hall '-F 4 2 3'
loop_
_atom_site_label
_atom_site_type_symbol
_atom_site_fract_x
_atom_site_fract_y
_atom_site_fract_z
Hf1 Hf 0.250 0.250 0.250
Si1 Si 0.000 0.000 0.000
O1 O 0.000 0.000 0.500
```

Computed properties:
The crystal system is cubic. The value obtained for the formation energy without anion corrections is -0.74 eV/atom.


VASP calculation (SCAN) on a crystal of Zr2InHgAs relaxed with PBEsol.

The structure in CIF format:
```
data_Zr2InHgAs
_cell_length_a 5.301
_cell_length_b 5.301
_cell_length_c 4.930
_cell_angle_alpha 90.00
_cell_angle_beta 90.00
_cell_angle_gamma 90.00
_space_group_name_H-M_alt 'P 4/m m m'
_space_group_IT_number 123
_space_group_name_Hall '-P 4 2'
loop_
_atom_site_label
_atom_site_type_symbol
_atom_site_fract_x
_atom_site_fract_y
_atom_site_fract_z
Zr1 Zr 0.000 0.500 0.000
In1 In 0.000 0.000 0.000
Hg1 Hg 0.000 0.000 0.500
As1 As 0.500 0.500 0.500
```

Computed properties:
For the total energy, the calculation gives -35.717 eV per atom. The crystal system is tetragonal.


VASP calculation (SCAN) on a crystal of InPtBr2 relaxed with PBEsol.

The structure in CIF format:
```
data_InPtBr2
_cell_length_a 3.444
_cell_length_b 4.059
_cell_length_c 14.119
_cell_angle_alpha 90.00
_cell_angle_beta 90.00
_cell_angle_gamma 90.00
_space_group_name_H-M_alt 'I m m 2'
_space_group_IT_number 44
_space_group_name_Hall 'I 2 -2'
loop_
_atom_site_label
_atom_site_type_symbol
_atom_site_fract_x
_atom_site_fract_y
_atom_site_fract_z
In1 In 0.000 0.000 0.000
Pt1 Pt 0.000 0.500 0.655
Br1 Br 0.000 0.000 0.400
Br2 Br 0.000 0.500 0.180
```

Computed properties:
For the energy above the most stable polymorph in this dataset, the calculation gives 0 kJ/mol of formula units. The crystal system is orthorhombic. The value obtained for the formation energy without anion corrections is -0.01 eV/atom.


VASP calculation (SCAN) on a crystal of Li2MnCl2 relaxed with PBEsol.

The structure in CIF format:
```
data_Li2MnCl2
_cell_length_a 4.579
_cell_length_b 4.579
_cell_length_c 10.814
_cell_angle_alpha 90.00
_cell_angle_beta 90.00
_cell_angle_gamma 90.00
_space_group_name_H-M_alt 'I 4/m m m'
_space_group_IT_number 139
_space_group_name_Hall '-I 4 2'
loop_
_atom_site_label
_atom_site_type_symbol
_atom_site_fract_x
_atom_site_fract_y
_atom_site_fract_z
Li1 Li 0.000 0.000 0.179
Mn1 Mn 0.000 0.000 0.500
Cl1 Cl 0.000 0.500 0.250
```

Computed properties:
The crystal system is tetragonal. The value obtained for the formation energy without anion corrections is -0.88 eV/atom.


VASP calculation (SCAN) on a crystal of Sc2InPb relaxed with PBEsol.

The structure in CIF format:
```
data_Sc2InPb
_cell_length_a 6.505
_cell_length_b 8.531
_cell_length_c 3.235
_cell_angle_alpha 90.00
_cell_angle_beta 90.00
_cell_angle_gamma 90.00
_space_group_name_H-M_alt 'C m m m'
_space_group_IT_number 65
_space_group_name_Hall '-C 2 2'
loop_
_atom_site_label
_atom_site_type_symbol
_atom_site_fract_x
_atom_site_fract_y
_atom_site_fract_z
Sc1 Sc 0.250 0.250 0.000
In1 In 0.000 0.000 0.500
Pb1 Pb 0.000 0.500 0.500
```

Computed properties:
For the total energy, the calculation gives -34.958 eV per atom. The crystal system is orthorhombic.


VASP calculation (SCAN) on a crystal of Re2RhSe relaxed with PBEsol.

The structure in CIF format:
```
data_Re2RhSe
_cell_length_a 9.658
_cell_length_b 2.918
_cell_length_c 4.311
_cell_angle_alpha 90.00
_cell_angle_beta 91.69
_cell_angle_gamma 90.00
_space_group_name_H-M_alt 'C 1 2/m 1'
_space_group_IT_number 12
_space_group_name_Hall '-C 2y'
loop_
_atom_site_label
_atom_site_type_symbol
_atom_site_fract_x
_atom_site_fract_y
_atom_site_fract_z
Re1 Re 0.218 0.000 0.229
Rh1 Rh 0.000 0.500 0.000
Se1 Se 0.000 0.000 0.500
```

Computed properties:
The crystal system is monoclinic. The value obtained for the formation energy without anion corrections is 0.36 eV/atom.


VASP calculation (SCAN) on a crystal of LiZn2Au relaxed with PBEsol.

The structure in CIF format:
```
data_LiZn2Au
_cell_length_a 2.728
_cell_length_b 3.864
_cell_length_c 5.491
_cell_angle_alpha 90.00
_cell_angle_beta 90.00
_cell_angle_gamma 90.00
_space_group_name_H-M_alt 'P m m 2'
_space_group_IT_number 25
_space_group_name_Hall 'P 2 -2'
loop_
_atom_site_label
_atom_site_type_symbol
_atom_site_fract_x
_atom_site_fract_y
_atom_site_fract_z
Li1 Li 0.000 0.000 0.000
Zn1 Zn 0.000 0.000 0.497
Zn2 Zn 0.500 0.500 0.257
Au1 Au 0.500 0.500 0.764
```

Computed properties:
For the energy above the most stable polymorph in this dataset, the calculation gives 49 kJ/mol of formula units. The crystal system is orthorhombic.


VASP calculation (SCAN) on a crystal of HfZrSn3 relaxed with PBEsol.

The structure in CIF format:
```
data_HfZrSn3
_cell_length_a 5.307
_cell_length_b 5.307
_cell_length_c 5.307
_cell_angle_alpha 90.00
_cell_angle_beta 90.00
_cell_angle_gamma 90.00
_space_group_name_H-M_alt 'P m -3 m'
_space_group_IT_number 221
_space_group_name_Hall '-P 4 2 3'
loop_
_atom_site_label
_atom_site_type_symbol
_atom_site_fract_x
_atom_site_fract_y
_atom_site_fract_z
Hf1 Hf 0.000 0.000 0.000
Zr1 Zr 0.500 0.500 0.500
Sn1 Sn 0.000 0.000 0.500
```

Computed properties:
For the total energy, the calculation gives -39.624 eV per atom. The crystal system is cubic.


VASP calculation (SCAN) on a crystal of IrWO2 relaxed with PBEsol.

The structure in CIF format:
```
data_IrWO2
_cell_length_a 2.9690
_cell_length_b 2.9690
_cell_length_c 19.0900
_cell_angle_alpha 90.00
_cell_angle_beta 90.00
_cell_angle_gamma 120.00
_space_group_name_H-M_alt 'R -3 m'
_space_group_IT_number 166
_space_group_name_Hall '-R 3 2"'
loop_
_atom_site_label
_atom_site_type_symbol
_atom_site_fract_x
_atom_site_fract_y
_atom_site_fract_z
Ir1 Ir 0.0000 0.0000 0.0000
W1 W 0.0000 0.0000 0.5000
O1 O 0.0000 0.0000 0.3917
```

Computed properties:
The crystal system is trigonal. The value obtained for the formation energy without anion corrections is -0.13 eV/atom.


| no. | size of the total moment (μB/atom) | DOS at the Fermi energy (states/eV/f.u.) |
| --- | --- | --- |
| 1 | 0.00 | 7.4 |
| 2 | 0.00 | 2.1 |
| 3 | 0.00 | 3.4 |
| 4 | 0.00 | 2.9 |
| 5 | 0.29 | 4.4 |
| 6 | 0.00 | 3.2 |
| 7 | 1.00 | 0.5 |
| 8 | 0.30 | 2.5 |
| 9 | 0.00 | 3.0 |
| 10 | 0.00 | 1.0 |
| 11 | 0.37 | 2.4 |
| 12 | 0.00 | 1.9 |